Material: NdCdPbSe3
Method: DFT, PBE
State: relaxed

DFT total energy in eV/atom: -4.208
Magnetic moment in Bohr magnetons per cell: 0.03

Unit cell a=7.285 b=7.285 c=10.966 alpha=90.00 beta=90.00 gamma=145.47
Element x y z (fractional)
Pb1 0.780 0.220 0.750
Cd1 0.476 0.524 0.750
Se1 0.643 0.357 0.053
Nd1 0.000 0.000 0.500
Cd2 0.524 0.476 0.250
Se2 0.357 0.643 0.553
Pb2 0.220 0.780 0.250
Se3 0.643 0.357 0.447
Nd2 0.000 0.000 0.000
Se4 0.098 0.902 0.750
Se5 0.357 0.643 0.947
Se6 0.902 0.098 0.250